The following is a SCAN calculation of a PBEsol-optimized structure of LiPm2Ir, from the Alexandria database. Values from VASP.

Values from the calculation:
DFT formation energy: -0.57 eV per atom
SG: No. 225
Spin magnetization: 0.000 Bohr magnetons per cell

Geometry as Quantum ESPRESSO input:
```
&SYSTEM
  ibrav = 0, nat = 4, ntyp = 3
/
ATOMIC_SPECIES
Li 6.94 Li.upf
Pm 145.00 Pm.upf
Ir 192.22 Ir.upf
ATOMIC_POSITIONS crystal
Li 0.000 0.000 0.000
Pm 0.250 0.250 0.250
Pm 0.750 0.750 0.750
Ir 0.500 0.500 0.500
CELL_PARAMETERS angstrom
0.000 3.519 3.519
3.519 0.000 3.519
3.519 3.519 0.000
```

***

The following is a SCAN calculation of a PBEsol-optimized structure of LiIrPt2, from the Alexandria database. Values from VASP.

Values from the calculation:
DFT formation energy: -0.36 eV per atom
SG: No. 25
Spin magnetization: 0.000 Bohr magnetons per cell
Energy relative to the lowest polymorph listed for this composition: 0.092 eV per atom

Geometry as Quantum ESPRESSO input:
```
&SYSTEM
  ibrav = 0, nat = 4, ntyp = 3
/
ATOMIC_SPECIES
Li 6.94 Li.upf
Ir 192.22 Ir.upf
Pt 195.08 Pt.upf
ATOMIC_POSITIONS crystal
Li 0.000 0.000 0.000
Ir 0.000 0.500 0.373
Pt 0.500 0.000 0.497
Pt 0.500 0.500 0.879
CELL_PARAMETERS angstrom
2.687 0.000 0.000
0.000 4.459 0.000
0.000 0.000 4.663
```

***

The following is a SCAN calculation of a PBEsol-optimized structure of Li2IrPt, from the Alexandria database. Values from VASP.

Values from the calculation:
DFT formation energy: -0.50 eV per atom
SG: No. 12
Spin magnetization: 0.008 Bohr magnetons per cell
Energy relative to the lowest polymorph listed for this composition: 0.009 eV per atom

Geometry as Quantum ESPRESSO input:
```
&SYSTEM
  ibrav = 0, nat = 4, ntyp = 3
/
ATOMIC_SPECIES
Li 6.94 Li.upf
Ir 192.22 Ir.upf
Pt 195.08 Pt.upf
ATOMIC_POSITIONS crystal
Li 0.249 0.249 0.252
Li 0.751 0.751 0.748
Ir 0.000 0.000 0.500
Pt 0.500 0.500 0.000
CELL_PARAMETERS angstrom
4.338 -1.318 0.000
4.338 1.318 0.000
-0.743 0.000 4.638
```

***

Number 1 is which compound? LiPm2Ir